VASP calculation (PBE-GGA) on a relaxed PrHo4Pd4 crystal.

Cell and atoms, written as POSCAR:
```
PrHo4Pd4
1.0
-1.412 -2.939 4.723
8.694 -2.502 1.043
1.525 7.411 5.068
Pr Ho Pd
2 8 8
Cartesian
0.000 0.000 0.000 Pr
4.403 0.985 5.417 Pr
3.656 4.645 6.873 Ho
5.170 1.966 9.145 Ho
5.392 -2.171 3.151 Ho
2.272 3.751 3.612 Ho
8.039 0.990 7.105 Ho
7.704 0.654 3.308 Ho
2.466 -2.430 5.601 Ho
0.525 0.477 4.538 Ho
6.613 -0.966 5.474 Pd
1.946 2.421 6.186 Pd
8.519 2.819 4.913 Pd
2.569 3.036 9.021 Pd
5.072 -3.490 5.708 Pd
2.951 -0.590 3.391 Pd
6.103 3.075 6.614 Pd
1.452 1.575 2.025 Pd
```

Calculated values
DFT formation energy = -579 kJ/mol of formula units
space group = P4_2/n, No. 86
density of states at the Fermi level = 15.71 states/eV per cell